The following is a DFT calculation (PBE-GGA) of an optimized crystal structure of YSi.

Computed properties:
Uncorrected formation energy = -0.49 eV/atom

Cell lengths 12.932, 4.236, 5.517 Å; angles 90.00, 90.00, 90.00 degrees
Fractional positions:
Y 0.702 0.500 0.684
Y 0.202 0.000 0.184
Y 0.500 0.000 0.336
Y 0.298 0.500 0.684
Y 0.798 0.000 0.184
Y 0.000 0.500 0.836
Si 0.357 0.500 0.190
Si 0.000 0.000 0.419
Si 0.643 0.500 0.190
Si 0.500 0.500 0.919
Si 0.857 0.000 0.690
Si 0.143 0.000 0.690

=====

The following is a DFT calculation (PBE-GGA) of an optimized crystal structure of PC.

Computed properties:
ΔE_f = 1.18 eV per atom

Cell lengths 5.156, 5.156, 6.630 Å; angles 72.13, 72.13, 33.63 degrees
Fractional positions:
C 0.574 0.574 0.203
C 0.693 0.693 0.684
C 0.891 0.891 0.104
P 0.094 0.094 0.039
P 0.380 0.380 0.248
P 0.200 0.200 0.555

=====

The following is a DFT calculation (PBE-GGA) of an optimized crystal structure of U5GeS4.

Computed properties:
Uncorrected formation energy = -1.10 eV/atom

Cell lengths 3.971, 5.547, 10.215 Å; angles 105.75, 101.21, 90.00 degrees
Site moments in Bohr magnetons follow the coordinates.
Fractional positions:
Ge 0.000 0.000 0.000  -0.06
S 0.204 0.204 0.409  -0.07
S 0.401 0.401 0.801  -0.07
S 0.599 0.599 0.199  -0.07
S 0.796 0.796 0.591  -0.07
U 0.393 0.893 0.786  1.93
U 0.607 0.107 0.214  1.93
U 0.802 0.302 0.603  2.08
U 0.000 0.500 0.000  1.99
U 0.198 0.698 0.397  2.08

=====

The following is a DFT calculation (PBE-GGA) of an optimized crystal structure of PrIn6S8.

Computed properties:
Uncorrected formation energy = -0.54 eV/atom

Cell lengths 7.234, 7.234, 7.234 Å; angles 94.78, 94.78, 94.78 degrees
Fractional positions:
In 0.230 0.337 0.620
In 0.620 0.230 0.337
In 0.337 0.620 0.230
In 0.380 0.770 0.663
In 0.663 0.380 0.770
In 0.770 0.663 0.380
S 0.636 0.904 0.176
S 0.364 0.096 0.824
S 0.176 0.636 0.904
S 0.824 0.364 0.096
S 0.096 0.824 0.364
S 0.904 0.176 0.636
S 0.739 0.739 0.739
S 0.261 0.261 0.261
Pr 0.000 0.000 0.000

=====

The following is a DFT calculation (PBE-GGA) of an optimized crystal structure of Ti6Zn10Cu.

Computed properties:
ΔE_f = -0.04 eV per atom

Cell lengths 5.474, 7.504, 7.504 Å; angles 120.00, 90.00, 90.00 degrees
Fractional positions:
Zn 0.840 0.289 0.000
Zn 0.500 0.667 0.333
Zn 0.160 0.711 0.000
Zn 0.160 0.289 0.289
Zn 0.840 0.000 0.289
Zn 0.500 0.333 0.667
Zn 0.840 0.711 0.711
Zn 0.000 0.667 0.333
Zn 0.000 0.333 0.667
Zn 0.160 0.000 0.711
Ti 0.672 0.000 0.643
Ti 0.328 0.357 0.000
Ti 0.328 0.643 0.643
Ti 0.328 0.000 0.357
Ti 0.672 0.643 0.000
Ti 0.672 0.357 0.357
Cu 0.500 0.000 0.000

=====

The following is a DFT calculation (PBE-GGA) of an optimized crystal structure of AlFe2Si.

Computed properties:
Uncorrected formation energy = -0.04 eV/atom

Cell lengths 8.012, 8.012, 8.012 Å; angles 19.44, 19.44, 19.44 degrees
Site moments in Bohr magnetons follow the coordinates.
Fractional positions:
Si 0.508 0.508 0.508  -0.04
Al 0.746 0.746 0.746  -0.04
Fe 0.249 0.249 0.249  1.41
Fe 0.997 0.997 0.997  1.84

=====

| no. | total magnetization (Bohr magnetons per cell) |
| --- | --- |
| 1 | 0.00 |
| 2 | 0.00 |
| 3 | 10.93 |
| 4 | 0.00 |
| 5 | 0.00 |
| 6 | 3.01 |